## HoMn3B4O12 (PBE+U)

Data for a relaxed HoMn3B4O12 crystal.

Lattice parameters (Å, degrees): 6.1422 6.1422 6.1422 103.55 103.55 103.55
Last column: nearest neighbours and their distance in Å.
Sites, in units of the cell vectors:
O (0.0254, 0.6353, 0.8032)  1 B 1.38
O (0.3568, 0.6432, 0.5000)  1 B 1.38
Mn (0.5456, 0.4544, 0.0000)  6 O 2.04-2.07
B (0.5000, 0.9526, 0.0474)  3 O 1.38-1.39
O (0.1968, 0.3647, 0.9746)  1 B 1.38
O (0.5000, 0.3568, 0.6432)  1 B 1.38
Ho (0.0000, 0.0000, 0.0000)  6 O 2.34
O (0.9034, 0.5000, 0.0966)  1 B 1.39
Mn (0.0000, 0.5456, 0.4544)  6 O 2.04-2.07
O (0.9746, 0.1968, 0.3647)  1 B 1.38
O (0.5000, 0.0966, 0.9034)  1 B 1.39
O (0.8032, 0.0254, 0.6353)  1 B 1.38
O (0.6353, 0.8032, 0.0254)  1 B 1.38
Mn (0.4544, 0.0000, 0.5456)  6 O 2.04-2.07
O (0.6432, 0.5000, 0.3568)  1 B 1.38
B (0.0474, 0.5000, 0.9526)  3 O 1.38-1.39
B (0.5000, 0.5000, 0.5000)  3 O 1.38
O (0.0966, 0.9034, 0.5000)  1 B 1.39
O (0.3647, 0.9746, 0.1968)  1 B 1.38
B (0.9526, 0.0474, 0.5000)  3 O 1.38-1.39

Summary:
Total DFT energy (no corrections) (eV per cell): -157.9
SG: R32 (155)